Entry 1:
Material: Mn3O4F2
Method: DFT, GGA-PBEsol
State: relaxed

Lattice parameters (Å, degrees): 5.4218 4.4993 7.5106 90.00 93.44 90.00
Last column: nearest neighbours and their distance in Å.
Space group P2_1 (No. 4)
Unique sites:
Mn  0.0683  0.0000  0.3425  4 O 1.89-1.96, 2 F 2.11
Mn  0.2687  0.4591  0.0028  4 O 1.87-1.92, 2 F 2.01
Mn  0.4066  0.9605  0.6813  4 O 1.87-1.93, 2 F 2.01-2.03
O  0.1225  0.1637  0.5735  3 Mn 1.89-1.96
O  0.2183  0.6598  0.7778  3 Mn 1.87-1.92
O  0.2886  0.2732  0.2328  3 Mn 1.92-1.93
O  0.4529  0.1596  0.8998  3 Mn 1.87
F  0.0464  0.7702  0.0977  3 Mn 2.01-2.11
F  0.3856  0.7631  0.4373  3 Mn 2.01-2.11

Output
Formation energy from raw total energies in eV/atom: -1.819
Electronic total energy in eV/atom: -7.834
Polymorph energy (0 for the lowest one) in eV per atom: 0.001

Entry 2:
Material: Mn2O3F
Method: DFT, GGA-PBEsol
State: relaxed

Lattice parameters (Å, degrees): 5.8700 6.1993 6.4843 90.00 90.00 90.00
Last column: nearest neighbours and their distance in Å.
Space group Imma (No. 74)
Unique sites:
Mn  0.0000  0.2500  0.2229  5 O 1.86-1.90, 1 F 1.99
Mn  0.2500  0.2500  0.7500  4 O 1.90, 2 F 2.04
O  0.0000  0.2500  0.9358  3 Mn 1.86-1.90
O  0.2500  0.0562  0.2500  3 Mn 1.90
F  0.0000  0.2500  0.5304  3 Mn 1.99-2.04

Output
Formation energy from raw total energies in eV/atom: -1.769
Electronic total energy in eV/atom: -7.968
Polymorph energy (0 for the lowest one) in eV per atom: 0.005

Entry 3:
Material: Mn3OF5
Method: DFT, GGA-PBEsol
State: relaxed

Lattice parameters (Å, degrees): 4.7717 5.7641 7.9354 86.97 88.27 88.44
Last column: nearest neighbours and their distance in Å.
Space group P-1 (No. 2)
Unique sites:
Mn  0.0000  0.0000  0.0000  2 O 1.92, 4 F 2.05-2.07
Mn  0.0228  0.3097  0.6638  1 O 1.96, 5 F 2.08-2.16
Mn  0.4767  0.8463  0.6790  1 O 1.93, 5 F 2.09-2.14
Mn  0.5000  0.5000  0.0000  6 F 1.99-2.12
O  0.1849  0.0333  0.7828  3 Mn 1.92-1.96
F  0.2009  0.7017  0.0989  3 Mn 1.99-2.14
F  0.2026  0.3779  0.4208  3 Mn 2.11-2.16
F  0.2973  0.2010  0.0988  3 Mn 2.05-2.10
F  0.3012  0.5326  0.7649  3 Mn 2.08-2.12
F  0.3024  0.8718  0.4374  3 Mn 2.10-2.12

Output
Formation energy from raw total energies in eV/atom: -2.113
Electronic total energy in eV/atom: -7.021
Polymorph energy (0 for the lowest one) in eV per atom: 0.013

Entry 4:
Material: Mn6O5F7
Method: DFT, GGA-PBEsol
State: relaxed

Lattice parameters (Å, degrees): 9.2336 6.2389 7.8546 90.00 116.27 90.00
Last column: nearest neighbours and their distance in Å.
Space group C2 (No. 5)
Unique sites:
Mn  0.0000  0.0000  0.0000  1 O 1.83, 3 F 1.98
Mn  0.0000  0.0335  0.5000  4 O 1.93
Mn  0.1642  0.5333  0.6661  2 O 1.89, 2 F 1.95
Mn  0.1766  0.5337  0.1766  3 O 1.91-1.94, 1 F 2.10
O  0.0000  0.7068  0.0000  3 Mn 1.83-1.94
O  0.1633  0.2310  0.6630  3 Mn 1.89-1.93
O  0.1628  0.8357  0.6637  3 Mn 1.89-1.93
F  0.0000  0.3168  0.0000  3 Mn 1.98-2.10
F  0.0563  0.5291  0.3615  2 Mn 1.95-2.15
F  0.1118  0.0320  0.2956  2 Mn 1.95-2.09
F  0.2243  0.0199  0.0293  3 Mn 1.98-2.18

Output
Formation energy from raw total energies in eV/atom: -1.972
Electronic total energy in eV/atom: -7.433
Polymorph energy (0 for the lowest one) in eV per atom: 0.000